(1)
# PBE CaTbPb2, relaxed
data_CaTbPb2
_symmetry_space_group_name_H-M 'P 4/m m m'
_symmetry_Int_Tables_number 123
_symmetry_space_group_name_Hall '-P 4 2'
_cell_length_a 3.5710
_cell_length_b 3.5710
_cell_length_c 9.1374
_cell_angle_alpha 90.00
_cell_angle_beta 90.00
_cell_angle_gamma 90.00
loop_
_atom_site_label
_atom_site_type_symbol
_atom_site_fract_x
_atom_site_fract_y
_atom_site_fract_z
Ca1 Ca 0.0000 0.0000 0.0000
Tb1 Tb 0.0000 0.0000 0.5000
Pb1 Pb 0.5000 0.5000 0.2540
# Formation energy   -491 meV per atom
# Crystal system   tetragonal
# Density of states at the Fermi level   0.68 states/eV/atom
# Density   8.7 g/cm3
# V   116.52 Å³ per cell


(2)
# PBE Ca3TbPb4, relaxed
data_Ca3TbPb4
_symmetry_space_group_name_H-M 'P 4/m m m'
_symmetry_Int_Tables_number 123
_symmetry_space_group_name_Hall '-P 4 2'
_cell_length_a 3.6018
_cell_length_b 3.6018
_cell_length_c 18.2361
_cell_angle_alpha 90.00
_cell_angle_beta 90.00
_cell_angle_gamma 90.00
loop_
_atom_site_label
_atom_site_type_symbol
_atom_site_fract_x
_atom_site_fract_y
_atom_site_fract_z
Ca1 Ca 0.0000 0.0000 0.0000
Ca2 Ca 0.0000 0.0000 0.2504
Tb1 Tb 0.0000 0.0000 0.5000
Pb1 Pb 0.5000 0.5000 0.1259
Pb2 Pb 0.5000 0.5000 0.3780
# Formation energy   -509 meV per atom
# Crystal system   tetragonal
# Density of states at the Fermi level   0.51 states/eV/atom
# Density   7.8 g/cm3
# V   236.57 Å³ per cell